<one>
TlTe2O | PBE | relaxed

Computed properties:
symmetry	No. 141

a = 7.963 Å, b = 7.963 Å, c = 7.963 Å
α = 134.19°, β = 134.19°, γ = 66.79°
Fractional positions:
Tl (0.375, 0.625, 0.750)
Tl (0.625, 0.375, 0.250)
Te (0.000, 0.000, 0.000)
Te (0.000, 0.000, 0.500)
Te (0.000, 0.500, 0.000)
Te (0.500, 0.000, 0.500)
O (0.125, 0.875, 0.250)
O (0.875, 0.125, 0.750)

=====

<two>
TlTe2O | PBE | relaxed

Computed properties:
symmetry	No. 166

a = 10.249 Å, b = 10.249 Å, c = 10.249 Å
α = 18.44°, β = 18.44°, γ = 18.44°
Fractional positions:
Tl (0.000, 0.000, 0.000)
Te (0.108, 0.108, 0.108)
Te (0.892, 0.892, 0.892)
O (0.500, 0.500, 0.500)

=====

<three>
TlTe2O | PBE | relaxed

Computed properties:
symmetry	No. 225

a = 5.035 Å, b = 5.035 Å, c = 5.035 Å
α = 60.00°, β = 60.00°, γ = 60.00°
Fractional positions:
Tl (0.000, 0.000, 0.000)
Te (0.250, 0.250, 0.250)
Te (0.750, 0.750, 0.750)
O (0.500, 0.500, 0.500)

=====

Stability summary - winner: <one>; margin: 0.407 eV/atom.

=====

<one>
TlTe3O | PBE | relaxed

Computed properties:
symmetry	No. 221

a = 5.714 Å, b = 5.714 Å, c = 5.714 Å
α = 90.00°, β = 90.00°, γ = 90.00°
Fractional positions:
Tl (0.000, 0.000, 0.000)
Te (0.000, 0.000, 0.500)
Te (0.000, 0.500, 0.000)
Te (0.500, 0.000, 0.000)
O (0.500, 0.500, 0.500)

=====

<two>
TlTe3O | PBE | relaxed

Computed properties:
symmetry	No. 221

a = 4.982 Å, b = 4.982 Å, c = 4.982 Å
α = 90.00°, β = 90.00°, γ = 90.00°
Fractional positions:
Tl (0.000, 0.000, 0.000)
Te (0.000, 0.500, 0.500)
Te (0.500, 0.000, 0.500)
Te (0.500, 0.500, 0.000)
O (0.500, 0.500, 0.500)

=====

Stability summary - winner: <two>; margin: 1.276 eV/atom.

=====

<one>
Tm2TeO6 | PBE | relaxed

Computed properties:
symmetry	No. 150

a = 9.071 Å, b = 9.071 Å, c = 5.131 Å
α = 90.00°, β = 90.00°, γ = 120.00°
Fractional positions:
Tm (0.000, 0.285, 0.000)
Tm (0.000, 0.622, 0.500)
Tm (0.285, 0.000, 0.000)
Tm (0.378, 0.378, 0.500)
Tm (0.622, 0.000, 0.500)
Tm (0.715, 0.715, 0.000)
Te (0.000, 0.000, 0.500)
Te (0.333, 0.667, 0.000)
Te (0.667, 0.333, 0.000)
O (0.081, 0.878, 0.287)
O (0.122, 0.203, 0.287)
O (0.130, 0.543, 0.215)
O (0.203, 0.122, 0.713)
O (0.225, 0.763, 0.782)
O (0.237, 0.462, 0.782)
O (0.413, 0.870, 0.215)
O (0.457, 0.587, 0.215)
O (0.462, 0.237, 0.218)
O (0.538, 0.775, 0.782)
O (0.543, 0.130, 0.785)
O (0.587, 0.457, 0.785)
O (0.763, 0.225, 0.218)
O (0.775, 0.538, 0.218)
O (0.797, 0.919, 0.287)
O (0.870, 0.413, 0.785)
O (0.878, 0.081, 0.713)
O (0.919, 0.797, 0.713)

=====

<two>
Tm2TeO6 | PBE | relaxed

Computed properties:
symmetry	No. 136

a = 4.940 Å, b = 4.940 Å, c = 9.952 Å
α = 90.00°, β = 90.00°, γ = 90.00°
Fractional positions:
Tm (0.000, 0.000, 0.165)
Tm (0.000, 0.000, 0.835)
Tm (0.500, 0.500, 0.335)
Tm (0.500, 0.500, 0.665)
Te (0.000, 0.000, 0.500)
Te (0.500, 0.500, 0.000)
O (0.184, 0.184, 0.352)
O (0.184, 0.184, 0.648)
O (0.219, 0.219, 0.000)
O (0.281, 0.719, 0.500)
O (0.316, 0.684, 0.148)
O (0.316, 0.684, 0.852)
O (0.684, 0.316, 0.148)
O (0.684, 0.316, 0.852)
O (0.719, 0.281, 0.500)
O (0.781, 0.781, 0.000)
O (0.816, 0.816, 0.352)
O (0.816, 0.816, 0.648)

=====

Stability summary - winner: <one>; margin: 0.050 eV/atom.

=====

<one>
Tm2TeO6 | PBE | relaxed

Computed properties:
symmetry	No. 58

a = 5.480 Å, b = 5.517 Å, c = 8.864 Å
α = 90.00°, β = 90.00°, γ = 90.00°
Fractional positions:
Tm (0.000, 0.000, 0.203)
Tm (0.000, 0.000, 0.797)
Tm (0.500, 0.500, 0.297)
Tm (0.500, 0.500, 0.703)
Te (0.000, 0.500, 0.000)
Te (0.500, 0.000, 0.500)
O (0.175, 0.197, 0.000)
O (0.203, 0.646, 0.158)
O (0.203, 0.646, 0.842)
O (0.297, 0.146, 0.342)
O (0.297, 0.146, 0.658)
O (0.325, 0.697, 0.500)
O (0.675, 0.303, 0.500)
O (0.703, 0.854, 0.342)
O (0.703, 0.854, 0.658)
O (0.797, 0.354, 0.158)
O (0.797, 0.354, 0.842)
O (0.825, 0.803, 0.000)

=====

<two>
Tm2TeO6 | PBE | relaxed

Computed properties:
symmetry	No. 19

a = 5.238 Å, b = 9.047 Å, c = 9.920 Å
α = 90.00°, β = 90.00°, γ = 90.00°
Fractional positions:
Tm (0.016, 0.104, 0.463)
Tm (0.041, 0.217, 0.866)
Tm (0.459, 0.783, 0.366)
Tm (0.484, 0.896, 0.963)
Tm (0.516, 0.396, 0.537)
Tm (0.541, 0.283, 0.134)
Tm (0.959, 0.717, 0.634)
Tm (0.984, 0.604, 0.037)
Te (0.036, 0.495, 0.351)
Te (0.464, 0.505, 0.851)
Te (0.536, 0.005, 0.649)
Te (0.964, 0.995, 0.149)
O (0.094, 0.843, 0.030)
O (0.171, 0.951, 0.303)
O (0.177, 0.641, 0.821)
O (0.190, 0.643, 0.237)
O (0.238, 0.116, 0.069)
O (0.242, 0.585, 0.497)
O (0.258, 0.415, 0.997)
O (0.262, 0.884, 0.569)
O (0.310, 0.357, 0.737)
O (0.323, 0.359, 0.321)
O (0.329, 0.049, 0.803)
O (0.406, 0.157, 0.530)
O (0.594, 0.657, 0.970)
O (0.671, 0.549, 0.697)
O (0.677, 0.859, 0.179)
O (0.690, 0.857, 0.763)
O (0.738, 0.384, 0.931)
O (0.742, 0.915, 0.503)
O (0.758, 0.085, 0.003)
O (0.762, 0.616, 0.431)
O (0.810, 0.143, 0.263)
O (0.823, 0.141, 0.679)
O (0.829, 0.451, 0.197)
O (0.906, 0.343, 0.470)

=====

Stability summary - winner: <two>; margin: 0.033 eV/atom.